[1]
DFT (GGA-PBE) results for crystalline Ba8TlAu3I4 at its relaxed geometry.

Unit cell a=9.6104 b=10.4773 c=9.6110 alpha=117.31 beta=120.00 gamma=90.00
Last column: nearest neighbours and their distance in Å.
Element x y z (fractional)
1 Ba 0.2420 0.7143 0.9724  2 Au 3.34, 1 Tl 3.42, 1 I 3.71
2 Ba 0.2420 0.7143 0.4839  2 Au 3.34, 1 Tl 3.42, 1 I 3.71
3 Ba 0.2637 0.2911 0.5274  3 Au 3.34
4 Ba 0.7304 0.7143 0.9724  2 Au 3.34, 1 Tl 3.42, 1 I 3.71
5 Ba 0.2696 0.2857 0.0276  2 Au 3.34, 1 Tl 3.42, 1 I 3.71
6 Ba 0.7363 0.7089 0.4726  3 Au 3.34
7 Ba 0.7580 0.2857 0.5161  2 Au 3.34, 1 Tl 3.42, 1 I 3.71
8 Ba 0.7580 0.2857 0.0276  2 Au 3.34, 1 Tl 3.42, 1 I 3.71
9 Tl 0.0000 0.5000 0.0000  6 Ba 3.42
10 Au 0.5000 0.5000 0.0000  6 Ba 3.34
11 Au 0.5000 0.5000 0.5000  6 Ba 3.34
12 Au 0.0000 0.5000 0.5000  6 Ba 3.34
13 I 0.5000 0.0000 0.0000  6 Ba 3.71
14 I 0.5000 0.0000 0.5000  6 Ba 3.78-3.79
15 I 0.0000 0.0000 0.0000  6 Ba 3.78-3.79
16 I 0.0000 0.0000 0.5000  6 Ba 3.78-3.79

## Properties
**Symmetry**: R-3m
**Total DFT energy (no corrections)**: -3.117 eV/atom
**DOS(E_F)**: 0.604 states/eV per atom

---

[2]
DFT (GGA-PBE) results for crystalline LaSc2Rh at its relaxed geometry.

Unit cell a=3.3106 b=3.3106 c=8.5061 alpha=90.00 beta=90.00 gamma=89.98
Last column: nearest neighbours and their distance in Å.
Element x y z (fractional)
1 Sc 0.0000 0.0000 0.9319  4 Rh 2.81, 1 Sc 3.09
2 Sc 0.0000 0.0000 0.5681  4 Rh 2.81, 1 Sc 3.09
3 Rh 0.5000 0.5000 0.7500  8 Sc 2.81
4 La 0.5000 0.5000 0.2500  4 La 3.31, 8 Sc 3.58

## Properties
**Symmetry**: P4/mmm
**DOS(E_F)**: 1.209 states/eV per atom
**Energy of formation**: -1.848 eV per formula unit

---

[3]
DFT (GGA-PBE) results for crystalline PuZn3Rh2 at its relaxed geometry.

Unit cell a=4.2477 b=5.2755 c=5.2744 alpha=120.00 beta=90.00 gamma=90.00
Last column: nearest neighbours and their distance in Å.
Element x y z (fractional)
1 Pu 0.0000 0.0012 0.0000  6 Rh 3.04-3.05, 12 Zn 3.39
2 Zn 0.5000 0.0012 0.5000  4 Rh 2.61, 4 Zn 2.64
3 Zn 0.5000 0.5013 0.5000  4 Rh 2.61, 4 Zn 2.64
4 Zn 0.5000 0.5013 0.0000  4 Rh 2.61, 4 Zn 2.64
5 Rh 0.0000 0.3345 0.6666  6 Zn 2.61
6 Rh 0.0000 0.6680 0.3334  6 Zn 2.61

## Properties
**Symmetry**: P6/mmm
**DOS(E_F)**: 2.178 states/eV per atom
**Energy of formation**: -2.336 eV per formula unit

---

[4]
DFT (GGA-PBE) results for crystalline MgTiCdHg2 at its relaxed geometry.

Unit cell a=5.3074 b=5.3442 c=5.3074 alpha=90.00 beta=90.00 gamma=90.00
Last column: nearest neighbours and their distance in Å.
Element x y z (fractional)
1 Mg 0.5000 0.5000 0.5000  4 Ti 3.75, 8 Hg 3.77
2 Ti 0.0000 0.5000 0.0000  2 Cd 2.67
3 Hg 0.0000 0.0000 0.5000  2 Cd 2.65
4 Hg 0.5000 0.0000 0.0000  2 Cd 2.65
5 Cd 0.0000 0.0000 0.0000  4 Hg 2.65, 2 Ti 2.67

## Properties
**Symmetry**: P4/mmm
**DOS(E_F)**: 0.496 states/eV per atom
**Energy of formation**: 3.652 eV per formula unit

---

[5]
DFT (GGA-PBE) results for crystalline MnGaP at its relaxed geometry.

Unit cell a=6.0804 b=5.8104 c=7.0429 alpha=131.08 beta=90.00 gamma=90.00
Last column: nearest neighbours and their distance in Å.
Element x y z (fractional)
1 Ga 0.2641 0.8117 0.5497  4 Mn 2.40-2.63, 1 P 2.59
2 Ga 0.7359 0.1883 0.4503  4 Mn 2.40-2.63, 1 P 2.59
3 Ga 0.2359 0.8117 0.0497  4 Mn 2.40-2.63, 1 P 2.59
4 Ga 0.7641 0.1883 0.9503  4 Mn 2.40-2.63, 1 P 2.59
5 P 0.2930 0.3513 0.0711  3 Mn 2.15-2.24
6 P 0.7070 0.6487 0.9289  3 Mn 2.15-2.24
7 P 0.7930 0.6487 0.4289  3 Mn 2.15-2.24
8 P 0.2070 0.3513 0.5711  3 Mn 2.15-2.24
9 Mn 0.9450 0.7070 0.7374  3 P 2.15-2.24, 1 Ga 2.40
10 Mn 0.5550 0.7070 0.2374  3 P 2.15-2.24, 1 Ga 2.40
11 Mn 0.0550 0.2930 0.2626  3 P 2.15-2.24, 1 Ga 2.40
12 Mn 0.4450 0.2930 0.7626  3 P 2.15-2.24, 1 Ga 2.40

## Properties
**Symmetry**: P2_1/c
**DOS(E_F)**: 0.153 states/eV per atom
**Energy of formation**: -0.540 eV per formula unit

---

[6]
DFT (GGA-PBE) results for crystalline La2AlRu at its relaxed geometry.

Unit cell a=5.6105 b=5.6105 c=5.6105 alpha=135.97 beta=123.52 gamma=74.26
Last column: nearest neighbours and their distance in Å.
Element x y z (fractional)
1 Ru 0.2500 0.7500 0.5000  4 La 2.81
2 Al 0.7500 0.2500 0.5000  8 La 3.24-3.36, 4 Ru 3.39
3 La 0.0424 0.0424 0.0000  2 Ru 2.81
4 La 0.4576 0.4576 0.0000  2 Ru 2.81

## Properties
**Symmetry**: Immm
**DOS(E_F)**: 0.777 states/eV per atom
**Energy of formation**: -0.733 eV per formula unit

---

[7]
DFT (GGA-PBE) results for crystalline SnBiI5 at its relaxed geometry.

Unit cell a=4.3463 b=9.1437 c=16.2499 alpha=89.59 beta=90.00 gamma=90.00
Last column: nearest neighbours and their distance in Å.
Element x y z (fractional)
1 Sn 0.7500 0.0746 0.1242  5 I 3.14-3.25
2 Sn 0.2500 0.9254 0.8758  5 I 3.14-3.25
3 Bi 0.2500 0.3446 0.3295  6 I 3.07-3.25
4 Bi 0.7500 0.6554 0.6705  6 I 3.07-3.25
5 I 0.2500 0.0163 0.2925  1 Bi 3.07
6 I 0.7500 0.1623 0.9370  3 Sn 3.14-3.23
7 I 0.7500 0.2702 0.4632  2 Bi 3.14
8 I 0.2500 0.3390 0.1296  1 Bi 3.25, 2 Sn 3.25
9 I 0.2500 0.4108 0.7057  2 Bi 3.17
10 I 0.7500 0.5892 0.2943  2 Bi 3.17
11 I 0.7500 0.6610 0.8704  1 Bi 3.25, 2 Sn 3.25
12 I 0.2500 0.7298 0.5368  2 Bi 3.14
13 I 0.2500 0.8377 0.0630  3 Sn 3.14-3.23
14 I 0.7500 0.9837 0.7075  1 Bi 3.07

## Properties
**Symmetry**: P2_1/m
**Total DFT energy (no corrections)**: -2.644 eV/atom
**DOS(E_F)**: 0.000 states/eV per atom